DFT (SCAN) results for a crystal of YSc2In relaxed with PBEsol.

a = 3.389 Å, b = 3.389 Å, c = 8.547 Å
α = 90.00°, β = 90.00°, γ = 90.00°
Positions (direct):
Y (0.000, 0.000, 0.000)
Sc (0.000, 0.000, 0.479)
Sc (0.500, 0.500, 0.724)
In (0.500, 0.500, 0.255)

Output
As for the formation energy: -0.3122 eV per atom. As for the energy: -22.738 eV per atom. As for the space group: P4mm, No. 99.



DFT (SCAN) results for a crystal of TiNbB4 relaxed with PBEsol.

a = 3.064 Å, b = 3.064 Å, c = 6.483 Å
α = 90.00°, β = 90.00°, γ = 120.00°
Positions (direct):
Ti (0.000, 0.000, 0.000)
Nb (0.000, 0.000, 0.500)
B (0.333, 0.667, 0.241)
B (0.333, 0.667, 0.759)
B (0.667, 0.333, 0.241)
B (0.667, 0.333, 0.759)

Output
As for the formation energy: -0.9210 eV per atom. As for the energy: -14.067 eV per atom. As for the space group: P6/mmm, No. 191.



DFT (SCAN) results for a crystal of Re3Cl relaxed with PBEsol.

a = 2.800 Å, b = 2.800 Å, c = 8.643 Å
α = 90.00°, β = 90.00°, γ = 120.00°
Positions (direct):
Re (0.000, 0.000, 0.000)
Re (0.333, 0.667, 0.247)
Re (0.333, 0.667, 0.753)
Cl (0.000, 0.000, 0.500)

Output
Its uncorrected formation energy is 0.46 eV/atom. As for the energy: -54.860 eV per atom. As for the space group: P-6m2, No. 187.



DFT (SCAN) results for a crystal of ZnCoIr2 relaxed with PBEsol.

a = 4.478 Å, b = 2.668 Å, c = 4.643 Å
α = 90.00°, β = 110.75°, γ = 90.00°
Positions (direct):
Zn (0.000, 0.000, 0.000)
Co (0.000, 0.500, 0.500)
Ir (0.500, 0.000, 0.500)
Ir (0.500, 0.500, 0.000)

Output
As for the formation energy: -0.0616 eV per atom. As for the energy: -43.316 eV per atom. As for the space group: P2/m, No. 10.



DFT (SCAN) results for a crystal of Te2NCl relaxed with PBEsol.

a = 6.678 Å, b = 6.678 Å, c = 6.678 Å
α = 90.00°, β = 90.00°, γ = 90.00°
Positions (direct):
Te (0.250, 0.250, 0.250)
Te (0.250, 0.250, 0.750)
Te (0.250, 0.750, 0.250)
Te (0.250, 0.750, 0.750)
Te (0.750, 0.250, 0.250)
Te (0.750, 0.250, 0.750)
Te (0.750, 0.750, 0.250)
Te (0.750, 0.750, 0.750)
N (0.000, 0.000, 0.000)
N (0.000, 0.500, 0.500)
N (0.500, 0.000, 0.500)
N (0.500, 0.500, 0.000)
Cl (0.000, 0.000, 0.500)
Cl (0.000, 0.500, 0.000)
Cl (0.500, 0.000, 0.000)
Cl (0.500, 0.500, 0.500)

Output
Its uncorrected formation energy is 1.34 eV/atom. As for the energy: -21.599 eV per atom. As for the space group: Fm-3m, No. 225.



DFT (SCAN) results for a crystal of KNa2Ga relaxed with PBEsol.

a = 4.891 Å, b = 4.891 Å, c = 23.032 Å
α = 90.00°, β = 90.00°, γ = 90.00°
Positions (direct):
K (0.000, 0.000, 0.000)
K (0.000, 0.500, 0.250)
K (0.500, 0.000, 0.750)
K (0.500, 0.500, 0.500)
Na (0.205, 0.250, 0.625)
Na (0.250, 0.705, 0.875)
Na (0.250, 0.795, 0.375)
Na (0.295, 0.250, 0.125)
Na (0.705, 0.750, 0.125)
Na (0.750, 0.205, 0.375)
Na (0.750, 0.295, 0.875)
Na (0.795, 0.750, 0.625)
Ga (0.000, 0.000, 0.500)
Ga (0.000, 0.500, 0.750)
Ga (0.500, 0.000, 0.250)
Ga (0.500, 0.500, 0.000)

Output
As for the formation energy: 0.1873 eV per atom. As for the energy: -8.089 eV per atom. As for the space group: I-42d, No. 122.



DFT (SCAN) results for a crystal of Ag2Ir2Cl relaxed with PBEsol.

a = 3.499 Å, b = 3.499 Å, c = 15.028 Å
α = 90.00°, β = 90.00°, γ = 90.00°
Positions (direct):
Ag (0.000, 0.000, 0.099)
Ag (0.000, 0.000, 0.901)
Ag (0.500, 0.500, 0.401)
Ag (0.500, 0.500, 0.599)
Ir (0.000, 0.500, 0.250)
Ir (0.000, 0.500, 0.750)
Ir (0.500, 0.000, 0.250)
Ir (0.500, 0.000, 0.750)
Cl (0.000, 0.000, 0.500)
Cl (0.500, 0.500, 0.000)

Output
Its uncorrected formation energy is 0.42 eV/atom. As for the energy: -42.160 eV per atom. As for the space group: I4/mmm, No. 139.



DFT (SCAN) results for a crystal of LaAlCd2Pt relaxed with PBEsol.

a = 5.632 Å, b = 5.632 Å, c = 5.561 Å
α = 90.00°, β = 90.00°, γ = 90.00°
Positions (direct):
La (0.000, 0.000, 0.000)
Al (0.000, 0.000, 0.500)
Cd (0.000, 0.500, 0.000)
Cd (0.500, 0.000, 0.000)
Pt (0.500, 0.500, 0.500)

Output
As for the formation energy: 1.6547 eV per atom. As for the energy: -34.721 eV per atom. As for the space group: P4/mmm, No. 123.



DFT (SCAN) results for a crystal of LiSi2Sb relaxed with PBEsol.

a = 3.116 Å, b = 5.195 Å, c = 4.494 Å
α = 90.00°, β = 93.72°, γ = 90.00°
Positions (direct):
Li (0.000, 0.000, 0.000)
Si (0.298, 0.500, 0.226)
Si (0.702, 0.500, 0.774)
Sb (0.500, 0.000, 0.500)

Output
Its uncorrected formation energy is 0.30 eV/atom. As for the energy: -14.623 eV per atom. As for the space group: P2/m, No. 10.



DFT (SCAN) results for a crystal of Mg2Zn2Ag relaxed with PBEsol.

a = 6.838 Å, b = 6.838 Å, c = 3.770 Å
α = 90.00°, β = 90.00°, γ = 90.00°
Positions (direct):
Mg (0.171, 0.329, 0.000)
Mg (0.329, 0.829, 0.000)
Mg (0.671, 0.171, 0.000)
Mg (0.829, 0.671, 0.000)
Zn (0.129, 0.629, 0.500)
Zn (0.371, 0.129, 0.500)
Zn (0.629, 0.871, 0.500)
Zn (0.871, 0.371, 0.500)
Ag (0.000, 0.000, 0.500)
Ag (0.500, 0.500, 0.500)

Output
As for the formation energy: -0.1189 eV per atom. As for the energy: -13.788 eV per atom. As for the space group: P4/mbm, No. 127.



DFT (SCAN) results for a crystal of TlAgAs2PbS5 relaxed with PBEsol.

a = 7.719 Å, b = 7.969 Å, c = 8.990 Å
α = 64.57°, β = 74.20°, γ = 67.13°
Positions (direct):
Tl (0.201, 0.352, 0.371)
Tl (0.799, 0.648, 0.629)
Ag (0.394, 0.736, 0.407)
Ag (0.606, 0.264, 0.593)
As (0.041, 0.880, 0.692)
As (0.391, 0.469, 0.863)
As (0.609, 0.531, 0.137)
As (0.959, 0.120, 0.308)
Pb (0.253, 0.033, 0.904)
Pb (0.747, 0.967, 0.096)
S (0.121, 0.841, 0.257)
S (0.122, 0.680, 0.959)
S (0.275, 0.433, 0.676)
S (0.325, 0.930, 0.586)
S (0.366, 0.198, 0.087)
S (0.634, 0.802, 0.913)
S (0.675, 0.070, 0.414)
S (0.725, 0.567, 0.324)
S (0.878, 0.320, 0.041)
S (0.879, 0.159, 0.743)

Output
Its uncorrected formation energy is -0.31 eV/atom. As for the energy: -27.113 eV per atom. As for the space group: P-1, No. 2.



DFT (SCAN) results for a crystal of TaAl2Ag relaxed with PBEsol.

a = 4.142 Å, b = 4.142 Å, c = 7.534 Å
α = 90.00°, β = 90.00°, γ = 90.00°
Positions (direct):
Ta (0.000, 0.000, 0.000)
Ta (0.500, 0.500, 0.500)
Al (0.000, 0.500, 0.250)
Al (0.000, 0.500, 0.750)
Al (0.500, 0.000, 0.250)
Al (0.500, 0.000, 0.750)
Ag (0.000, 0.000, 0.500)
Ag (0.500, 0.500, 0.000)

Output
As for the formation energy: 0.0923 eV per atom. As for the energy: -28.271 eV per atom. As for the space group: I4/mmm, No. 139.



DFT (SCAN) results for a crystal of Cs2NaYRe relaxed with PBEsol.

a = 5.751 Å, b = 5.751 Å, c = 5.572 Å
α = 90.00°, β = 90.00°, γ = 90.00°
Positions (direct):
Cs (0.000, 0.500, 0.000)
Cs (0.500, 0.000, 0.000)
Na (0.000, 0.000, 0.000)
Y (0.500, 0.500, 0.500)
Re (0.000, 0.000, 0.500)

Output
As for the formation energy: 1.8527 eV per atom. As for the energy: -33.903 eV per atom. As for the space group: P4/mmm, No. 123.



DFT (SCAN) results for a crystal of Na3MnN relaxed with PBEsol.

a = 4.745 Å, b = 4.745 Å, c = 4.745 Å
α = 90.00°, β = 90.00°, γ = 90.00°
Positions (direct):
Na (0.000, 0.000, 0.500)
Na (0.000, 0.500, 0.000)
Na (0.500, 0.000, 0.000)
Mn (0.500, 0.500, 0.500)
N (0.000, 0.000, 0.000)

Output
Its uncorrected formation energy is 0.53 eV/atom. As for the energy: -7.509 eV per atom. As for the space group: Pm-3m, No. 221.



DFT (SCAN) results for a crystal of BeAsSe4 relaxed with PBEsol.

a = 5.531 Å, b = 5.531 Å, c = 5.531 Å
α = 60.00°, β = 60.00°, γ = 60.00°
Positions (direct):
Be (0.000, 0.000, 0.000)
As (0.750, 0.750, 0.750)
Se (0.374, 0.374, 0.374)
Se (0.374, 0.374, 0.877)
Se (0.374, 0.877, 0.374)
Se (0.877, 0.374, 0.374)

Output
Its uncorrected formation energy is 1.13 eV/atom. As for the energy: -16.345 eV per atom. As for the space group: F-43m, No. 216.



DFT (SCAN) results for a crystal of ZrPb relaxed with PBEsol.

a = 4.299 Å, b = 4.299 Å, c = 9.948 Å
α = 90.00°, β = 90.00°, γ = 90.00°
Positions (direct):
Zr (0.000, 0.250, 0.375)
Zr (0.000, 0.750, 0.625)
Zr (0.500, 0.250, 0.125)
Zr (0.500, 0.750, 0.875)
Pb (0.000, 0.250, 0.875)
Pb (0.000, 0.750, 0.125)
Pb (0.500, 0.250, 0.625)
Pb (0.500, 0.750, 0.375)

Output
As for the formation energy: -0.3007 eV per atom. As for the energy: -53.541 eV per atom. As for the space group: I4_1/amd, No. 141.



DFT (SCAN) results for a crystal of La2HS relaxed with PBEsol.

a = 6.833 Å, b = 6.833 Å, c = 6.833 Å
α = 90.00°, β = 90.00°, γ = 90.00°
Positions (direct):
La (0.250, 0.250, 0.250)
La (0.250, 0.250, 0.750)
La (0.250, 0.750, 0.250)
La (0.250, 0.750, 0.750)
La (0.750, 0.250, 0.250)
La (0.750, 0.250, 0.750)
La (0.750, 0.750, 0.250)
La (0.750, 0.750, 0.750)
H (0.000, 0.000, 0.000)
H (0.000, 0.500, 0.500)
H (0.500, 0.000, 0.500)
H (0.500, 0.500, 0.000)
S (0.000, 0.000, 0.500)
S (0.000, 0.500, 0.000)
S (0.500, 0.000, 0.000)
S (0.500, 0.500, 0.500)

Output
As for the energy: -25.844 eV per atom. As for the space group: Fm-3m, No. 225.



DFT (SCAN) results for a crystal of Li4V2Co3Cu3O16 relaxed with PBEsol.

a = 5.778 Å, b = 5.778 Å, c = 9.179 Å
α = 94.32°, β = 94.32°, γ = 57.88°
Positions (direct):
Li (0.000, 0.000, 0.000)
Li (0.015, 0.015, 0.505)
Li (0.346, 0.346, 0.404)
Li (0.661, 0.661, 0.909)
V (0.323, 0.323, 0.009)
V (0.676, 0.676, 0.501)
Co (0.180, 0.180, 0.725)
Co (0.349, 0.841, 0.223)
Co (0.841, 0.349, 0.223)
Cu (0.174, 0.670, 0.722)
Cu (0.670, 0.174, 0.722)
Cu (0.840, 0.840, 0.223)
O (0.021, 0.021, 0.807)
O (0.022, 0.022, 0.313)
O (0.038, 0.461, 0.867)
O (0.171, 0.171, 0.115)
O (0.185, 0.662, 0.100)
O (0.329, 0.329, 0.629)
O (0.377, 0.864, 0.597)
O (0.461, 0.038, 0.867)
O (0.478, 0.478, 0.854)
O (0.523, 0.970, 0.349)
O (0.535, 0.535, 0.343)
O (0.661, 0.661, 0.120)
O (0.662, 0.185, 0.100)
O (0.852, 0.852, 0.593)
O (0.864, 0.377, 0.597)
O (0.970, 0.523, 0.349)

Output
Its uncorrected formation energy is -1.70 eV/atom. As for the energy: -10.332 eV per atom. As for the space group: Cm, No. 8.



DFT (SCAN) results for a crystal of Cr4Ir relaxed with PBEsol.

a = 6.451 Å, b = 6.451 Å, c = 2.821 Å
α = 90.00°, β = 90.00°, γ = 90.00°
Positions (direct):
Cr (0.115, 0.684, 0.000)
Cr (0.184, 0.385, 0.500)
Cr (0.316, 0.115, 0.000)
Cr (0.385, 0.816, 0.500)
Cr (0.615, 0.184, 0.500)
Cr (0.684, 0.885, 0.000)
Cr (0.816, 0.615, 0.500)
Cr (0.885, 0.316, 0.000)
Ir (0.000, 0.000, 0.500)
Ir (0.500, 0.500, 0.000)

Output
As for the formation energy: -0.0626 eV per atom. As for the energy: -28.990 eV per atom. As for the space group: I4/m, No. 87.



DFT (SCAN) results for a crystal of Re2TcBr relaxed with PBEsol.

a = 3.710 Å, b = 3.710 Å, c = 4.474 Å
α = 90.00°, β = 90.00°, γ = 90.00°
Positions (direct):
Re (0.000, 0.500, 0.000)
Re (0.500, 0.000, 0.000)
Tc (0.000, 0.000, 0.500)
Br (0.500, 0.500, 0.500)

Output
Its uncorrected formation energy is 1.64 eV/atom. As for the energy: -47.536 eV per atom. As for the space group: P4/mmm, No. 123.